Record 1
An optimized crystal structure of Nd6NiRh2Br3. Source: Alexandria, functional GGA-PBE.

a = 7.1238 Å, b = 7.1238 Å, c = 8.1720 Å
α = 98.35°, β = 98.35°, γ = 120.00°
Last column: nearest neighbours and their distance in Å.
Positions (direct):
1 Nd 0.0649 0.3951 0.1948  1 Ni 2.80, 2 Rh 2.83
2 Nd 0.2652 0.2652 0.8051  1 Ni 2.80, 2 Rh 2.83
3 Nd 0.3951 0.0649 0.1948  1 Ni 2.80, 2 Rh 2.83
4 Nd 0.6049 0.9351 0.8052  1 Ni 2.80, 2 Rh 2.83
5 Nd 0.7348 0.7348 0.1949  1 Ni 2.80, 2 Rh 2.83
6 Nd 0.9351 0.6049 0.8052  1 Ni 2.80, 2 Rh 2.83
7 Ni 0.0000 0.0000 0.0000  6 Nd 2.80
8 Rh 0.3333 0.6667 0.0000  6 Nd 2.83
9 Rh 0.6667 0.3333 0.0000  6 Nd 2.83
10 Br 0.1662 0.8338 0.5000  6 Nd 3.35-3.39
11 Br 0.5000 0.5000 0.5000  6 Nd 3.36-3.38
12 Br 0.8338 0.1662 0.5000  6 Nd 3.35-3.39

Summary:
E_form (uncorrected) = -985 meV per atom
volume = 28.64 Å³/atom
DOS at the Fermi energy = 6.2 states/eV per cell

---

Record 2
An optimized crystal structure of AgSb2F. Source: Alexandria, functional GGA-PBE.

a = 9.3980 Å, b = 9.3980 Å, c = 9.3980 Å
α = 151.77°, β = 151.77°, γ = 40.35°
Last column: nearest neighbours and their distance in Å.
Positions (direct):
1 Ag 0.0000 0.0000 0.0000  4 Sb 2.84
2 Ag 0.7500 0.2500 0.5000  4 Sb 2.84
3 Sb 0.1736 0.6250 0.0486  2 F 2.65, 2 Ag 2.84, 2 Sb 2.94
4 Sb 0.3750 0.4236 0.5486  2 F 2.65, 2 Ag 2.84, 2 Sb 2.94
5 Sb 0.5764 0.1250 0.9514  2 F 2.65, 2 Ag 2.84, 2 Sb 2.94
6 Sb 0.8750 0.8264 0.4514  2 F 2.65, 2 Ag 2.84, 2 Sb 2.94
7 F 0.2500 0.7500 0.5000  4 Sb 2.65
8 F 0.5000 0.5000 0.0000  4 Sb 2.65

Summary:
E_form (uncorrected) = -355 meV per atom
offset from the most stable computed form = 110 meV per atom
volume = 23.17 Å³/atom
DOS at the Fermi energy = 3.0 states/eV per cell

---

Record 3
An optimized crystal structure of Be2Ni2B. Source: Alexandria, functional GGA-PBE.

a = 5.1477 Å, b = 5.1477 Å, c = 3.4871 Å
α = 90.00°, β = 90.00°, γ = 90.00°
Last column: nearest neighbours and their distance in Å.
Positions (direct):
1 Be 0.1518 0.3482 0.0000  6 Ni 2.21-2.38, 1 Be 2.21
2 Be 0.3482 0.8482 0.0000  6 Ni 2.21-2.38, 1 Be 2.21
3 Be 0.6518 0.1518 0.0000  6 Ni 2.21-2.38, 1 Be 2.21
4 Be 0.8482 0.6518 0.0000  6 Ni 2.21-2.38, 1 Be 2.21
5 Ni 0.1621 0.6621 0.5000  2 B 1.93
6 Ni 0.3379 0.1621 0.5000  2 B 1.93
7 Ni 0.6621 0.8379 0.5000  2 B 1.93
8 Ni 0.8379 0.3379 0.5000  2 B 1.93
9 B 0.0000 0.0000 0.5000  4 Ni 1.93
10 B 0.5000 0.5000 0.5000  4 Ni 1.93

Summary:
volume = 9.24 Å³/atom
total DFT energy (no corrections) = -53.0 eV per cell
DOS at the Fermi energy = 3.4 states/eV per cell

---

Record 4
An optimized crystal structure of Nb6OsRh3. Source: Alexandria, functional GGA-PBE.

a = 6.7752 Å, b = 6.7752 Å, c = 6.3604 Å
α = 117.33°, β = 117.33°, γ = 56.09°
Last column: nearest neighbours and their distance in Å.
Positions (direct):
1 Nb 0.1436 0.6436 0.6459  3 Rh 2.50-2.63, 1 Os 2.50
2 Nb 0.2469 0.2469 0.1346  2 Rh 2.56-2.69, 1 Os 2.61
3 Nb 0.3564 0.8564 0.3541  3 Rh 2.50-2.63, 1 Os 2.50
4 Nb 0.6436 0.1436 0.6459  3 Rh 2.50-2.63, 1 Os 2.50
5 Nb 0.7531 0.7531 0.8654  2 Rh 2.56-2.69, 1 Os 2.61
6 Nb 0.8564 0.3564 0.3541  3 Rh 2.50-2.63, 1 Os 2.50
7 Os 0.0000 0.0000 0.0000  6 Nb 2.50-2.61
8 Rh 0.2468 0.2468 0.7316  5 Nb 2.56-2.63
9 Rh 0.5000 0.5000 0.5000  6 Nb 2.50-2.69
10 Rh 0.7532 0.7532 0.2684  5 Nb 2.56-2.63

Summary:
volume = 20.69 Å³/atom
total DFT energy (no corrections) = -89.8 eV per cell
DOS at the Fermi energy = 10.3 states/eV per cell

---

Record 5
An optimized crystal structure of Li2MnTe. Source: Alexandria, functional GGA-PBE.

a = 5.0753 Å, b = 5.0753 Å, c = 5.0753 Å
α = 132.93°, β = 132.93°, γ = 68.77°
Last column: nearest neighbours and their distance in Å.
Positions (direct):
1 Li 0.0000 0.0000 0.0000  4 Mn 2.87, 4 Li 2.91, 4 Te 2.91
2 Li 0.7500 0.2500 0.5000  4 Te 2.87, 4 Mn 2.91, 4 Li 2.91
3 Mn 0.5000 0.5000 0.0000  8 Li 2.87-2.91, 4 Te 2.91
4 Te 0.2500 0.7500 0.5000  8 Li 2.87-2.91, 4 Mn 2.91

Summary:
E_form (uncorrected) = -184 meV per atom
volume = 17.20 Å³/atom
DOS at the Fermi energy = 2.7 states/eV per cell

---

Record 6
An optimized crystal structure of CoSiRh2. Source: Alexandria, functional GGA-PBE.

a = 4.2516 Å, b = 4.2516 Å, c = 2.8428 Å
α = 90.00°, β = 90.00°, γ = 90.00°
Last column: nearest neighbours and their distance in Å.
Positions (direct):
1 Co 0.0000 0.0000 0.0000  8 Rh 2.56, 2 Co 2.84
2 Si 0.5000 0.5000 0.0000  8 Rh 2.56, 2 Si 2.84
3 Rh 0.0000 0.5000 0.5000  4 Co 2.56, 4 Si 2.56, 2 Rh 2.84
4 Rh 0.5000 0.0000 0.5000  4 Co 2.56, 4 Si 2.56, 2 Rh 2.84

Summary:
E_form (uncorrected) = -320 meV per atom
volume = 12.85 Å³/atom
DOS at the Fermi energy = 6.5 states/eV per cell

---

Record 7
An optimized crystal structure of AlTc2Ru. Source: Alexandria, functional GGA-PBE.

a = 2.8848 Å, b = 2.8848 Å, c = 6.8159 Å
α = 90.00°, β = 90.00°, γ = 90.00°
Last column: nearest neighbours and their distance in Å.
Positions (direct):
1 Al 0.0000 0.0000 0.0000  8 Tc 2.63, 4 Al 2.88
2 Tc 0.5000 0.5000 0.2446  4 Al 2.63, 4 Ru 2.68, 4 Tc 2.88
3 Tc 0.5000 0.5000 0.7554  4 Al 2.63, 4 Ru 2.68, 4 Tc 2.88
4 Ru 0.0000 0.0000 0.5000  8 Tc 2.68, 4 Ru 2.88

Summary:
offset from the most stable computed form = 123 meV per atom
volume = 14.18 Å³/atom
DOS at the Fermi energy = 4.2 states/eV per cell

---

Record 8
An optimized crystal structure of HgPb2Br. Source: Alexandria, functional GGA-PBE.

a = 3.6852 Å, b = 5.8362 Å, c = 5.9867 Å
α = 90.00°, β = 90.00°, γ = 90.00°
Last column: nearest neighbours and their distance in Å.
Positions (direct):
1 Hg 0.0000 0.0000 0.0000  2 Pb 2.99-3.00
2 Pb 0.0000 0.0000 0.4992  2 Hg 2.99-3.00
3 Pb 0.5000 0.5000 0.4886  2 Br 2.98-3.00
4 Br 0.5000 0.5000 0.9871  2 Pb 2.98-3.00

Summary:
E_form (uncorrected) = -197 meV per atom
offset from the most stable computed form = 5 meV per atom
volume = 32.19 Å³/atom
DOS at the Fermi energy = 1.2 states/eV per cell